First-principles (PBE-GGA) data for crystalline K2BaSb at its relaxed geometry, as listed in Alexandria via LeMat-Bulk.

Results
symmetry = No. 160
N(E_F) = 1.13 states/eV/cell
uncorrected formation energy = -0.3923 eV per atom

a = 10.259 Å, b = 10.259 Å, c = 10.259 Å
α = 30.71°, β = 30.71°, γ = 30.71°
Positions (direct):
Ba 0.787 0.787 0.787
K 0.995 0.995 0.995
K 0.219 0.219 0.219
Sb 0.498 0.498 0.498

First-principles (PBE-GGA) data for crystalline K3BaSb at its relaxed geometry, as listed in Alexandria via LeMat-Bulk.

Results
excess energy over the best structure of this formula in the dataset = 0.827 eV/atom
symmetry = No. 221
N(E_F) = 5.48 states/eV/cell
uncorrected formation energy = 0.7846 eV per atom

a = 7.159 Å, b = 7.159 Å, c = 7.159 Å
α = 90.00°, β = 90.00°, γ = 90.00°
Site moments in Bohr magnetons follow the coordinates.
Positions (direct):
Sb 0.500 0.500 0.500  -0.19
K 0.000 0.500 0.000  0.01
K 0.000 0.000 0.500  0.01
K 0.500 0.000 0.000  0.01
Ba 0.000 0.000 0.000  0.15

First-principles (PBE-GGA) data for crystalline K2BaSb at its relaxed geometry, as listed in Alexandria via LeMat-Bulk.

Results
symmetry = No. 71
N(E_F) = 2.23 states/eV/cell
uncorrected formation energy = -0.4235 eV per atom

a = 9.965 Å, b = 9.965 Å, c = 9.965 Å
α = 153.98°, β = 148.37°, γ = 41.40°
Positions (direct):
Ba 0.250 0.750 0.500
K 0.910 0.910 0.000
K 0.590 0.590 0.000
Sb 0.750 0.250 0.500

First-principles (PBE-GGA) data for crystalline K2Ba2Sb at its relaxed geometry, as listed in Alexandria via LeMat-Bulk.

Results
symmetry = No. 127
N(E_F) = 15.99 states/eV/cell
uncorrected formation energy = -0.2358 eV per atom

a = 9.171 Å, b = 9.171 Å, c = 7.467 Å
α = 90.00°, β = 90.00°, γ = 90.00°
Positions (direct):
Sb 0.000 0.000 0.000
Sb 0.500 0.500 0.000
K 0.168 0.668 0.500
K 0.668 0.832 0.500
K 0.832 0.332 0.500
K 0.332 0.168 0.500
Ba 0.329 0.829 0.000
Ba 0.829 0.671 0.000
Ba 0.671 0.171 0.000
Ba 0.171 0.329 0.000

First-principles (PBE-GGA) data for crystalline K2BaSb at its relaxed geometry, as listed in Alexandria via LeMat-Bulk.

Results
symmetry = No. 11
N(E_F) = 4.08 states/eV/cell
uncorrected formation energy = -0.4462 eV per atom

a = 5.738 Å, b = 7.650 Å, c = 12.709 Å
α = 127.41°, β = 90.00°, γ = 90.00°
Positions (direct):
K 0.750 0.272 0.788
K 0.250 0.728 0.212
K 0.250 0.036 0.915
K 0.750 0.964 0.085
Ba 0.250 0.393 0.575
Ba 0.750 0.607 0.425
Sb 0.750 0.708 0.732
Sb 0.250 0.292 0.268

First-principles (PBE-GGA) data for crystalline KBa2Sb at its relaxed geometry, as listed in Alexandria via LeMat-Bulk.

Results
symmetry = No. 6
N(E_F) = 1.85 states/eV/cell
uncorrected formation energy = -0.4727 eV per atom

a = 4.859 Å, b = 5.115 Å, c = 9.502 Å
α = 74.41°, β = 90.00°, γ = 90.00°
Positions (direct):
Ba 0.000 0.986 0.903
Ba 0.500 0.334 0.208
K 0.000 0.664 0.545
Sb 0.500 0.516 0.844